The following is a PBE calculation of a relaxed NaLaTe3 crystal, from Alexandria.

It has space group Pm-3m (No. 221), with a = 5.4665 Å, b = 5.4665 Å, c = 5.4665 Å, α = 90.00°, β = 90.00° and γ = 90.00°. The distinct sites, in fractional coordinates, are Na at (0.0000, 0.0000, 0.0000), La at (0.5000, 0.5000, 0.5000) and Te at (0.0000, 0.0000, 0.5000).

The value obtained for the calculated density is 5.54 g/cm3. The energy relative to the lowest polymorph listed for this composition comes out at 0.2592 eV per atom. Its density of states at the Fermi level is 7.74 states/eV per cell. The magnetic moment comes out at 0.0 Bohr magnetons per cell. As for the formation energy (no corrections): -335 meV per atom.